Material: FeAs2Pb
Method: DFT, GGA-PBE
State: optimized geometry

Lattice parameters (Å, degrees): 2.9960 5.7913 9.8315 90.00 90.00 90.00
Atoms (fractional coordinates):
Fe1 0.0000 0.0000 0.0000
Fe2 0.5000 0.5000 0.5000
As1 0.0000 0.5000 0.3102
As2 0.0000 0.5000 0.6898
As3 0.5000 0.0000 0.1898
As4 0.5000 0.0000 0.8102
Pb1 0.0000 0.0000 0.5000
Pb2 0.5000 0.5000 0.0000

Summary:
For the density of states at the Fermi level, the calculation gives 0.658 states/eV per atom. The space-group type is Immm (71). Its calculated volume is 170.6 Å³ per cell. The value obtained for the calculated density is 8.04 Mg/m³. The value obtained for the energy of formation is 0.228 eV/atom.